# CsKHgSb

A geometry-optimized CsKHgSb structure (PBE, Alexandria via LeMat-Bulk).

Structure (POSCAR):
```
CsKHgSb
1.0
-3.6460 1.8303 -4.3492
-2.7466 -3.9984 -3.4681
-5.8839 -0.8332 0.4940
Cs Sb K Hg
1 1 1 1
direct
0.5000 0.5000 0.5000
0.0000 0.0000 0.0000
0.7500 0.7500 0.7500
0.2500 0.2500 0.2500
```

Properties
**ρ**: 5.48 g/cm3
**E_form (uncorrected)**: -0.242 eV per atom
**Space-group type**: F-43m, No. 216

---

# SmDyTm3

A geometry-optimized SmDyTm3 structure (PBE, Alexandria via LeMat-Bulk).

Structure (POSCAR):
```
SmDyTm3
1.0
-0.2151 -1.1119 3.4011
8.2707 -0.9967 -1.6838
2.0201 10.6598 3.6128
Sm Dy Tm
2 2 6
direct
0.9904 0.4734 0.2500
0.0096 0.5266 0.7500
0.3134 0.1252 0.2500
0.6866 0.8748 0.7500
0.8416 0.1841 0.9992
0.1584 0.8159 0.0008
0.8416 0.1841 0.5008
0.1584 0.8159 0.4992
0.6548 0.8067 0.2500
0.3452 0.1933 0.7500
```

Properties
**Distance to the lowest polymorph of the same formula**: 304 meV/atom
**ΔE_f**: 7.12 kcal/mol of atoms
**ρ**: 7.99 g/cm3
**Space-group type**: P2_1/m, No. 11

---

| no. | calculated volume (Å³/f.u.) |
| --- | --- |
| 1 | 149.93 |
| 2 | 170.31 |